Arrangement w

# CsK2ZnCd (PBE, optimized geometry)
# Volume, Å³/atom: 49.533
# Space group: P4/mmm
# D(E_F), states/eV/atom: 0.54
data_CsK2ZnCd
_chemical_formula_sum 'Cs1 K2 Zn1 Cd1'
_space_group_name_H-M_alt 'P 1'
_space_group_IT_number 1
_cell_length_a 6.8551
_cell_length_b 6.8551
_cell_length_c 5.2704
_cell_angle_alpha 90.00
_cell_angle_beta 90.00
_cell_angle_gamma 90.00
loop_
_space_group_symop_operation_xyz
'x,y,z'
loop_
_atom_site_label
_atom_site_type_symbol
_atom_site_fract_x
_atom_site_fract_y
_atom_site_fract_z
Cs1 Cs 0.0000 0.0000 0.0000
K1 K 0.0000 0.5000 0.5000
K2 K 0.5000 0.0000 0.5000
Zn1 Zn 0.5000 0.5000 0.5000
Cd1 Cd 0.5000 0.5000 0.0000

***

Arrangement x

# CsK2ZnCd (PBE, optimized geometry)
# Volume, Å³/atom: 51.547
# Space group: P4/mmm
# D(E_F), states/eV/atom: 0.54
data_CsK2ZnCd
_chemical_formula_sum 'Cs1 K2 Zn1 Cd1'
_space_group_name_H-M_alt 'P 1'
_space_group_IT_number 1
_cell_length_a 6.9989
_cell_length_b 6.9989
_cell_length_c 5.2616
_cell_angle_alpha 90.00
_cell_angle_beta 90.00
_cell_angle_gamma 90.00
loop_
_space_group_symop_operation_xyz
'x,y,z'
loop_
_atom_site_label
_atom_site_type_symbol
_atom_site_fract_x
_atom_site_fract_y
_atom_site_fract_z
Cs1 Cs 0.0000 0.0000 0.0000
K1 K 0.0000 0.5000 0.5000
K2 K 0.5000 0.0000 0.5000
Zn1 Zn 0.5000 0.5000 0.0000
Cd1 Cd 0.5000 0.5000 0.5000

***

Quick one: least stable of them? arrangement x

***

Arrangement w

# CsLa2Cd2 (PBE, optimized geometry)
# Volume, Å³/atom: 35.571
# Space group: P4/mbm
# D(E_F), states/eV/atom: 1.29
data_CsLa2Cd2
_chemical_formula_sum 'Cs2 La4 Cd4'
_space_group_name_H-M_alt 'P 1'
_space_group_IT_number 1
_cell_length_a 9.8829
_cell_length_b 9.8829
_cell_length_c 3.6418
_cell_angle_alpha 90.00
_cell_angle_beta 90.00
_cell_angle_gamma 90.00
loop_
_space_group_symop_operation_xyz
'x,y,z'
loop_
_atom_site_label
_atom_site_type_symbol
_atom_site_fract_x
_atom_site_fract_y
_atom_site_fract_z
Cs1 Cs 0.0000 0.0000 0.0000
Cs2 Cs 0.5000 0.5000 0.0000
La1 La 0.1184 0.3816 0.0000
La2 La 0.3816 0.8816 0.0000
La3 La 0.6184 0.1184 0.0000
La4 La 0.8816 0.6184 0.0000
Cd1 Cd 0.1719 0.6719 0.5000
Cd2 Cd 0.3281 0.1719 0.5000
Cd3 Cd 0.6719 0.8281 0.5000
Cd4 Cd 0.8281 0.3281 0.5000

***

Arrangement x

# CsLa2Cd2 (PBE, optimized geometry)
# Volume, Å³/atom: 40.628
# Space group: I4/mmm
# D(E_F), states/eV/atom: 1.16
data_CsLa2Cd2
_chemical_formula_sum 'Cs2 La4 Cd4'
_space_group_name_H-M_alt 'P 1'
_space_group_IT_number 1
_cell_length_a 5.0307
_cell_length_b 5.0307
_cell_length_c 16.0533
_cell_angle_alpha 90.00
_cell_angle_beta 90.00
_cell_angle_gamma 90.00
loop_
_space_group_symop_operation_xyz
'x,y,z'
loop_
_atom_site_label
_atom_site_type_symbol
_atom_site_fract_x
_atom_site_fract_y
_atom_site_fract_z
Cs1 Cs 0.0000 0.0000 0.0000
Cs2 Cs 0.5000 0.5000 0.5000
La1 La 0.0000 0.5000 0.2500
La2 La 0.0000 0.5000 0.7500
La3 La 0.5000 0.0000 0.2500
La4 La 0.5000 0.0000 0.7500
Cd1 Cd 0.0000 0.0000 0.3957
Cd2 Cd 0.0000 0.0000 0.6043
Cd3 Cd 0.5000 0.5000 0.1043
Cd4 Cd 0.5000 0.5000 0.8957

***

Quick one: least stable of them? arrangement x